(1)
VASP calculation (PBE) on an optimized crystal structure of Ho5ZrBi6.

Lattice parameters (Å, degrees): 7.6583 13.2606 7.6525 90.00 109.54 90.00
Space group C2/m (No. 12)
One atom of each set of equivalent atoms:
Ho (0.0000, 0.0000, 0.0000) (multiplicity 2)
Ho (0.0000, 0.1651, 0.5000) (multiplicity 4)
Ho (0.0000, 0.3296, 0.0000) (multiplicity 4)
Zr (0.0000, 0.5000, 0.5000) (multiplicity 2)
Bi (0.2422, 0.5000, 0.2513) (multiplicity 4)
Bi (0.2442, 0.3367, 0.7443) (multiplicity 8)

Computed properties:
energy of formation = -8.70 eV per formula unit
density of states at the Fermi level = 6.1 states/eV/cell
V = 30.5 A^3/atom

=====

(2)
VASP calculation (PBE) on an optimized crystal structure of Ho3ZrBi4.

Lattice parameters (Å, degrees): 7.6242 8.8210 7.6025 90.00 109.54 90.00
Space group P2/c (No. 13)
One atom of each set of equivalent atoms:
Ho (0.0000, 0.1247, 0.2500) (multiplicity 2)
Ho (0.0000, 0.3753, 0.7500) (multiplicity 2)
Ho (0.5000, 0.1252, 0.7500) (multiplicity 2)
Zr (0.5000, 0.3771, 0.2500) (multiplicity 2)
Bi (0.2545, 0.1298, 0.0046) (multiplicity 4)
Bi (0.2576, 0.3785, 0.4995) (multiplicity 4)

Computed properties:
energy of formation = -5.35 eV per formula unit
density of states at the Fermi level = 4.0 states/eV/cell
V = 30.1 A^3/atom